Computed, not measured: a relaxed structure of TbHo4In2 at the GGA-PBE level of DFT.

Cell and atoms, written as POSCAR:
```
TbHo4In2
1.0
2.550 1.472 10.281
-2.550 1.472 10.281
0.000 -2.944 10.281
Tb Ho In
1 4 2
Direct
0.000 0.000 0.000
0.204 0.204 0.204
0.391 0.391 0.391
0.609 0.609 0.609
0.796 0.796 0.796
0.100 0.100 0.100
0.900 0.900 0.900
```

Calculated values
* ΔE to the lowest computed polymorph: 156 meV per atom
* total moment: 0.54 μB per cell
* calculated formation energy: 0.06 eV per atom